The following is a PBE calculation of crystalline Tb2EuSi at its relaxed geometry, from Alexandria via LeMat-Bulk.

E_form (uncorrected): -189 meV per atom
DOS(E_F): 4.17 states/eV/f.u.
Magnetic moment: 7.89 μB/cell

abc: 9.9518 9.9518 9.9518
angles: 23.40 23.40 23.40
Closest atoms and distances in Å follow each position.
Fractional positions:
Tb 0.2217 0.2217 0.2217  3 Si 2.83
Tb 0.7783 0.7783 0.7783  3 Si 2.83
Eu 0.0000 0.0000 0.0000  6 Tb 3.99, 6 Eu 4.04
Si 0.5000 0.5000 0.5000  6 Tb 2.83

The following is a PBE calculation of crystalline TbEuSi at its relaxed geometry, from Alexandria via LeMat-Bulk.

E_form (uncorrected): -257 meV per atom
DOS(E_F): 3.20 states/eV/f.u.
Magnetic moment: 8.14 μB/cell

abc: 5.8819 5.8819 5.8819
angles: 141.40 141.40 55.73
Closest atoms and distances in Å follow each position.
Fractional positions:
Tb 0.0000 0.0000 0.0000  1 Eu 2.97, 4 Si 3.00
Eu 0.7141 0.7141 0.0000  1 Tb 2.97, 4 Si 3.27
Si 0.3840 0.3840 0.0000  4 Tb 3.00, 4 Eu 3.27

Look up the magnetic moment of the first one.
7.89 μB/cell

Copy entry 1 word for word.
The following is a PBE calculation of crystalline Tb2EuSi at its relaxed geometry, from Alexandria via LeMat-Bulk.

E_form (uncorrected): -189 meV per atom
DOS(E_F): 4.17 states/eV/f.u.
Magnetic moment: 7.89 μB/cell

abc: 9.9518 9.9518 9.9518
angles: 23.40 23.40 23.40
Closest atoms and distances in Å follow each position.
Fractional positions:
Tb 0.2217 0.2217 0.2217  3 Si 2.83
Tb 0.7783 0.7783 0.7783  3 Si 2.83
Eu 0.0000 0.0000 0.0000  6 Tb 3.99, 6 Eu 4.04
Si 0.5000 0.5000 0.5000  6 Tb 2.83

Which formula does entry 1 have?
Tb2EuSi